Record 1
Computed, not measured: a geometry-optimized DyTh2H structure at the GGA-PBE level of DFT.

Results
E above lowest polymorph: 0.000 eV/atom

```
DyTh2H
1.0
1.720 0.993 9.770
-1.720 0.993 9.770
0.000 -1.986 9.770
Dy Th H
1 2 1
Direct
0.000 0.000 0.000 Dy
0.113 0.113 0.113 Th
0.887 0.887 0.887 Th
0.500 0.500 0.500 H
```


Record 2
Computed, not measured: a geometry-optimized DyThH2 structure at the GGA-PBE level of DFT.

Results
E above lowest polymorph: 0.000 eV/atom

```
DyThH2
1.0
1.783 1.029 5.874
-1.783 1.029 5.874
0.000 -2.058 5.874
Dy Th H
1 1 2
Direct
0.000 0.000 0.000 Dy
0.500 0.500 0.500 Th
0.251 0.251 0.251 H
0.749 0.749 0.749 H
```


Record 3
Computed, not measured: a geometry-optimized DyTh2H structure at the GGA-PBE level of DFT.

Results
E above lowest polymorph: 0.099 eV/atom

```
DyTh2H
1.0
3.392 0.000 0.000
0.000 3.392 0.000
0.000 0.000 8.629
Dy Th H
1 2 1
Direct
0.000 0.000 0.000 Dy
0.500 0.500 0.317 Th
0.500 0.500 0.683 Th
0.000 0.000 0.500 H
```


Record 4
Computed, not measured: a geometry-optimized Dy3TiH structure at the GGA-PBE level of DFT.

```
Dy3TiH
1.0
4.804 0.000 0.000
0.000 4.804 0.000
0.000 0.000 4.804
Dy Ti H
3 1 1
Direct
0.000 0.000 0.500 Dy
0.000 0.500 0.000 Dy
0.500 0.000 0.000 Dy
0.500 0.500 0.500 Ti
0.000 0.000 0.000 H
```


Record 5
Computed, not measured: a geometry-optimized Dy2TiH structure at the GGA-PBE level of DFT.

Results
E above lowest polymorph: 0.000 eV/atom

```
Dy2TiH
1.0
3.188 0.000 0.000
0.000 3.188 0.000
0.000 0.000 7.737
Dy Ti H
2 1 1
Direct
0.000 0.000 0.217 Dy
0.000 0.000 0.783 Dy
0.500 0.500 0.500 Ti
0.500 0.500 0.000 H
```


Record 6
Computed, not measured: a geometry-optimized DyTiH3 structure at the GGA-PBE level of DFT.

```
DyTiH3
1.0
3.720 0.000 0.000
0.000 3.720 0.000
0.000 0.000 3.720
Dy Ti H
1 1 3
Direct
0.000 0.000 0.000 Dy
0.500 0.500 0.500 Ti
0.000 0.500 0.500 H
0.500 0.000 0.500 H
0.500 0.500 0.000 H
```


Record 7
Computed, not measured: a geometry-optimized Dy2TiH structure at the GGA-PBE level of DFT.

Results
E above lowest polymorph: 0.083 eV/atom

```
Dy2TiH
1.0
1.654 0.955 8.731
-1.654 0.955 8.731
0.000 -1.910 8.731
Dy Ti H
2 1 1
Direct
0.113 0.113 0.113 Dy
0.887 0.887 0.887 Dy
0.000 0.000 0.000 Ti
0.500 0.500 0.500 H
```


Record 8
Computed, not measured: a geometry-optimized DyTiH2 structure at the GGA-PBE level of DFT.

```
DyTiH2
1.0
1.605 0.927 5.312
-1.605 0.927 5.312
0.000 -1.853 5.312
Dy Ti H
1 1 2
Direct
0.000 0.000 0.000 Dy
0.500 0.500 0.500 Ti
0.226 0.226 0.226 H
0.774 0.774 0.774 H
```


Record 9
Computed, not measured: a geometry-optimized Dy7Tl4H structure at the GGA-PBE level of DFT.

```
Dy7Tl4H
1.0
7.990 -2.563 0.000
7.990 2.563 0.000
-6.926 0.000 8.507
Dy Tl H
7 4 1
Direct
0.000 0.000 0.000 Dy
0.139 0.139 0.564 Dy
0.287 0.287 0.143 Dy
0.434 0.434 0.739 Dy
0.566 0.566 0.261 Dy
0.713 0.713 0.857 Dy
0.861 0.861 0.436 Dy
0.078 0.078 0.790 Tl
0.220 0.220 0.352 Tl
0.780 0.780 0.648 Tl
0.922 0.922 0.210 Tl
0.500 0.500 0.000 H
```


Record 10
Computed, not measured: a geometry-optimized Dy4Tl3H2 structure at the GGA-PBE level of DFT.

Results
E above lowest polymorph: 0.000 eV/atom

```
Dy4Tl3H2
1.0
5.429 -2.179 0.000
5.429 2.179 0.000
-1.352 0.000 8.325
Dy Tl H
4 3 2
Direct
0.130 0.130 0.420 Dy
0.283 0.283 0.853 Dy
0.717 0.717 0.147 Dy
0.870 0.870 0.580 Dy
0.000 0.000 0.000 Tl
0.417 0.417 0.277 Tl
0.583 0.583 0.723 Tl
0.300 0.300 0.599 H
0.700 0.700 0.401 H
```


Record 11
Computed, not measured: a geometry-optimized Dy2TlH structure at the GGA-PBE level of DFT.

Results
E above lowest polymorph: 0.000 eV/atom

```
Dy2TlH
1.0
2.671 -6.295 0.000
2.671 6.295 0.000
0.000 0.000 5.244
Dy Tl H
4 2 2
Direct
0.154 0.343 0.000 Dy
0.343 0.154 0.500 Dy
0.657 0.846 0.500 Dy
0.846 0.657 0.000 Dy
0.000 0.500 0.500 Tl
0.500 0.000 0.000 Tl
0.500 0.500 0.250 H
0.500 0.500 0.750 H
```


Record 12
Computed, not measured: a geometry-optimized Dy3Tl2H2 structure at the GGA-PBE level of DFT.

Results
E above lowest polymorph: 0.206 eV/atom

```
Dy3Tl2H2
1.0
5.225 -2.315 0.000
5.225 2.315 0.000
-2.012 0.000 6.215
Dy Tl H
3 2 2
Direct
0.000 0.000 0.000 Dy
0.337 0.337 0.650 Dy
0.663 0.663 0.350 Dy
0.337 0.337 0.157 Tl
0.663 0.663 0.843 Tl
0.123 0.123 0.381 H
0.877 0.877 0.619 H
```


Record 13
Computed, not measured: a geometry-optimized Dy2TlH structure at the GGA-PBE level of DFT.

Results
E above lowest polymorph: 0.463 eV/atom

```
Dy2TlH
1.0
3.390 0.000 0.000
0.000 3.390 0.000
0.000 0.000 7.551
Dy Tl H
2 1 1
Direct
0.000 0.000 0.210 Dy
0.000 0.000 0.790 Dy
0.500 0.500 0.500 Tl
0.500 0.500 0.000 H
```


Record 14
Computed, not measured: a geometry-optimized Dy4Tl3H2 structure at the GGA-PBE level of DFT.

Results
E above lowest polymorph: 0.010 eV/atom

```
Dy4Tl3H2
1.0
6.999 -4.663 0.000
6.999 4.663 0.000
-1.337 0.000 6.295
Dy Tl H
8 6 4
Direct
0.106 0.657 0.984 Dy
0.225 0.381 0.415 Dy
0.343 0.894 0.516 Dy
0.381 0.225 0.915 Dy
0.619 0.775 0.085 Dy
0.657 0.106 0.484 Dy
0.775 0.619 0.585 Dy
0.894 0.343 0.016 Dy
0.014 0.791 0.465 Tl
0.209 0.986 0.035 Tl
0.487 0.513 0.750 Tl
0.513 0.487 0.250 Tl
0.791 0.014 0.965 Tl
0.986 0.209 0.535 Tl
0.143 0.399 0.072 H
0.399 0.143 0.572 H
0.601 0.857 0.428 H
0.857 0.601 0.928 H
```


Record 15
Computed, not measured: a geometry-optimized Dy2TlH structure at the GGA-PBE level of DFT.

Results
E above lowest polymorph: 0.164 eV/atom

```
Dy2TlH
1.0
1.799 1.039 7.850
-1.799 1.039 7.850
0.000 -2.078 7.850
Dy Tl H
2 1 1
Direct
0.224 0.224 0.224 Dy
0.776 0.776 0.776 Dy
0.000 0.000 0.000 Tl
0.500 0.500 0.500 H
```


Record 16
Computed, not measured: a geometry-optimized Dy2TlH structure at the GGA-PBE level of DFT.

Results
E above lowest polymorph: 0.139 eV/atom

```
Dy2TlH
1.0
5.731 -2.471 0.000
5.731 2.471 0.000
-2.868 0.000 6.137
Dy Tl H
4 2 2
Direct
0.049 0.049 0.278 Dy
0.328 0.328 0.935 Dy
0.672 0.672 0.065 Dy
0.951 0.951 0.722 Dy
0.356 0.356 0.420 Tl
0.644 0.644 0.580 Tl
0.135 0.135 0.015 H
0.865 0.865 0.985 H
```


Record 17
Computed, not measured: a geometry-optimized Dy3TlH2 structure at the GGA-PBE level of DFT.

```
Dy3TlH2
1.0
11.685 -1.798 0.000
11.685 1.798 0.000
-1.501 0.000 6.054
Dy Tl H
6 2 4
Direct
0.036 0.036 0.276 Dy
0.235 0.235 0.219 Dy
0.397 0.397 0.135 Dy
0.603 0.603 0.865 Dy
0.765 0.765 0.781 Dy
0.964 0.964 0.724 Dy
0.351 0.351 0.578 Tl
0.649 0.649 0.422 Tl
0.055 0.055 0.938 H
0.294 0.294 0.991 H
0.706 0.706 0.009 H
0.945 0.945 0.062 H
```


Record 18
Computed, not measured: a geometry-optimized Dy5Tl4H structure at the GGA-PBE level of DFT.

```
Dy5Tl4H
1.0
-4.764 4.764 2.871
4.764 -4.764 2.871
4.764 4.764 -2.871
Dy Tl H
5 4 1
Direct
0.000 0.000 0.000 Dy
0.290 0.369 0.657 Dy
0.369 0.712 0.078 Dy
0.633 0.290 0.922 Dy
0.712 0.633 0.343 Dy
0.035 0.665 0.701 Tl
0.334 0.035 0.370 Tl
0.665 0.964 0.630 Tl
0.964 0.334 0.299 Tl
0.396 0.396 0.000 H
```


Record 19
Computed, not measured: a geometry-optimized Dy2TlH2 structure at the GGA-PBE level of DFT.

Results
E above lowest polymorph: 0.000 eV/atom

```
Dy2TlH2
1.0
-1.911 1.911 5.985
1.911 -1.911 5.985
1.911 1.911 -5.985
Dy Tl H
2 1 2
Direct
0.152 0.152 0.000 Dy
0.848 0.848 0.000 Dy
0.500 0.500 0.000 Tl
0.250 0.750 0.500 H
0.750 0.250 0.500 H
```


Record 20
Computed, not measured: a geometry-optimized Dy3Tl2H2 structure at the GGA-PBE level of DFT.

Results
E above lowest polymorph: 0.000 eV/atom

```
Dy3Tl2H2
1.0
5.931 -2.190 0.000
5.931 2.190 0.000
-4.146 0.000 5.657
Dy Tl H
3 2 2
Direct
0.000 0.000 0.000 Dy
0.198 0.198 0.643 Dy
0.802 0.802 0.357 Dy
0.459 0.459 0.250 Tl
0.541 0.541 0.750 Tl
0.216 0.216 0.341 H
0.784 0.784 0.659 H
```


Record 21
Computed, not measured: a geometry-optimized Dy2TlH2 structure at the GGA-PBE level of DFT.

Results
E above lowest polymorph: 0.085 eV/atom

```
Dy2TlH2
1.0
3.091 -4.975 0.000
3.091 4.975 0.000
-3.081 0.000 5.646
Dy Tl H
4 2 4
Direct
0.054 0.946 0.750 Dy
0.305 0.695 0.250 Dy
0.695 0.305 0.750 Dy
0.946 0.054 0.250 Dy
0.375 0.625 0.750 Tl
0.625 0.375 0.250 Tl
0.006 0.755 0.009 H
0.245 0.994 0.491 H
0.755 0.006 0.509 H
0.994 0.245 0.991 H
```


Record 22
Computed, not measured: a geometry-optimized Dy2Tm4Tl3H2 structure at the GGA-PBE level of DFT.

```
Dy2Tm4Tl3H2
1.0
-2.348 2.348 12.110
2.348 -2.348 12.110
2.348 2.348 -12.110
Dy Tm Tl H
2 4 3 2
Direct
0.196 0.196 0.000 Dy
0.804 0.804 0.000 Dy
0.084 0.584 0.500 Tm
0.416 0.916 0.500 Tm
0.584 0.084 0.500 Tm
0.916 0.416 0.500 Tm
0.326 0.326 0.000 Tl
0.500 0.500 0.000 Tl
0.674 0.674 0.000 Tl
0.100 0.100 0.000 H
0.900 0.900 0.000 H
```


Record 23
Computed, not measured: a geometry-optimized Dy4Y2Tl3H2 structure at the GGA-PBE level of DFT.

```
Dy4Y2Tl3H2
1.0
-2.369 2.369 12.256
2.369 -2.369 12.256
2.369 2.369 -12.256
Dy Y Tl H
4 2 3 2
Direct
0.084 0.584 0.500 Dy
0.416 0.916 0.500 Dy
0.584 0.084 0.500 Dy
0.916 0.416 0.500 Dy
0.198 0.198 0.000 Y
0.802 0.802 0.000 Y
0.326 0.326 0.000 Tl
0.500 0.500 0.000 Tl
0.674 0.674 0.000 Tl
0.102 0.102 0.000 H
0.898 0.898 0.000 H
```


Record 24
Computed, not measured: a geometry-optimized DyTmH structure at the GGA-PBE level of DFT.

Results
E above lowest polymorph: 0.000 eV/atom

```
DyTmH
1.0
6.199 0.000 0.000
-0.009 7.140 0.000
-0.001 -0.045 11.404
Dy Tm H
8 8 8
Direct
0.000 0.000 0.000 Dy
0.007 0.996 0.511 Dy
0.174 0.746 0.250 Dy
0.344 0.995 0.753 Dy
0.505 0.749 0.498 Dy
0.515 0.744 0.004 Dy
0.675 0.995 0.250 Dy
0.838 0.246 0.752 Dy
0.011 0.499 0.496 Tm
0.012 0.495 0.991 Tm
0.178 0.248 0.247 Tm
0.338 0.495 0.749 Tm
0.499 0.248 0.499 Tm
0.507 0.248 0.008 Tm
0.679 0.497 0.246 Tm
0.836 0.744 0.751 Tm
0.010 0.999 0.198 H
0.011 0.491 0.304 H
0.177 0.250 0.876 H
0.344 0.001 0.564 H
0.350 0.495 0.128 H
0.504 0.247 0.692 H
0.665 0.000 0.880 H
0.839 0.753 0.378 H
```


| no. | ρ (g/cm³) | raw total energy (eV per cell) |
| --- | --- | --- |
| 1 | 10.40 | -22.433 |
| 2 | 10.18 | -19.987 |
| 3 | 10.50 | -22.036 |
| 4 | 8.03 | -25.066 |
| 5 | 7.90 | -19.820 |
| 6 | 6.88 | -24.437 |
| 7 | 7.51 | -19.490 |
| 8 | 7.44 | -20.101 |
| 9 | 9.32 | -46.776 |
| 10 | 10.66 | -35.747 |
| 11 | 9.99 | -33.540 |
| 12 | 9.92 | -26.893 |
| 13 | 10.15 | -14.920 |
| 14 | 10.23 | -71.313 |
| 15 | 10.00 | -16.115 |
| 16 | 10.14 | -32.428 |
| 17 | 9.06 | -50.110 |
| 18 | 10.39 | -37.437 |
| 19 | 10.10 | -21.231 |
| 20 | 10.15 | -28.338 |
| 21 | 10.16 | -41.609 |
| 22 | 10.05 | -43.854 |
| 23 | 8.71 | -48.354 |
| 24 | 8.75 | -105.694 |